# 1
8
Lattice="4.523 0.000 0.000 0.000 3.746 0.000 0.000 0.000 10.413" Properties=species:S:1:pos:R:3 comment="YErNiAu (PBE, optimized geometry)" de_polymorph_mev_per_atom=0 ef_ev_per_atom=-0.65 pbc="T T T"
Y 0.000 0.000 0.000
Y 0.000 1.873 5.206
Er 2.261 0.000 7.490
Er 2.261 1.873 2.283
Ni 0.000 0.000 2.873
Ni 0.000 1.873 8.079
Au 2.261 0.000 4.537
Au 2.261 1.873 9.743

---

# 2
12
Lattice="3.862 -9.224 0.000 3.862 9.224 0.000 -3.762 0.000 4.758" Properties=species:S:1:pos:R:3 comment="CuSbCl4 (PBE, optimized geometry)" formation_energy_uncorrected_ev_per_atom=-0.67 de_polymorph_mev_per_atom=0 pbc="T T T"
Cu 1.041 6.806 3.569
Cu 2.922 -6.806 1.190
Sb 2.922 3.223 1.190
Sb 1.041 -3.223 3.569
Cl -1.028 3.591 3.287
Cl 1.128 1.442 1.301
Cl -0.753 -1.442 3.680
Cl 0.853 -3.591 0.907
Cl 3.110 3.591 3.851
Cl 4.716 1.442 1.078
Cl 2.835 -1.442 3.457
Cl 4.991 -3.591 1.472

---

# 3
10
Lattice="7.964 0.000 0.000 0.000 3.925 0.000 -2.242 0.000 8.227" Properties=species:S:1:pos:R:3 comment="Pm3CoSe (PBE, optimized geometry)" formation_energy_uncorrected_ev_per_atom=-0.72 pbc="T T T"
Pm 0.081 0.981 2.053
Pm 0.337 0.981 7.749
Pm 1.296 2.944 4.877
Pm 4.426 0.981 3.350
Pm 5.384 2.944 0.478
Pm 5.640 2.944 6.174
Co -0.856 0.981 4.722
Co 6.577 2.944 3.505
Se 2.571 2.944 1.926
Se 3.151 0.981 6.302

---

# 4
11
Lattice="4.582 0.000 0.000 0.000 4.582 0.000 0.000 0.000 14.130" Properties=species:S:1:pos:R:3 comment="LiTl2In8 (PBE, optimized geometry)" ef_ev_per_atom=0.00 pbc="T T T"
Li 0.000 0.000 0.000
Tl 0.000 0.000 4.407
Tl 0.000 0.000 9.723
In 0.000 2.291 1.759
In 0.000 2.291 7.065
In 0.000 2.291 12.371
In 2.291 0.000 1.759
In 2.291 0.000 7.065
In 2.291 0.000 12.371
In 2.291 2.291 4.333
In 2.291 2.291 9.797

---

# 5
10
Lattice="4.893 0.000 0.000 0.000 4.893 0.000 0.000 0.000 10.867" Properties=species:S:1:pos:R:3 comment="Na2LiBi4Pd3 (PBE, optimized geometry)" ef_ev_per_atom=-0.27 pbc="T T T"
Na 0.000 2.447 2.491
Na 2.447 0.000 8.376
Li 2.447 2.447 0.000
Bi 0.000 0.000 5.433
Bi 0.000 2.447 9.514
Bi 2.447 0.000 1.352
Bi 2.447 2.447 5.433
Pd 0.000 0.000 0.000
Pd 0.000 2.447 6.819
Pd 2.447 0.000 4.047

---

# 6
5
Lattice="6.704 0.000 0.000 0.000 6.704 0.000 0.000 0.000 6.704" Properties=species:S:1:pos:R:3 comment="Ba3CrSn (PBE, optimized geometry)" de_polymorph_mev_per_atom=0 ef_ev_per_atom=0.38 pbc="T T T"
Ba 0.000 0.000 3.352
Ba 0.000 3.352 0.000
Ba 3.352 0.000 0.000
Cr 3.352 3.352 3.352
Sn 0.000 0.000 0.000